# 1
The following is a PBE-GGA calculation of a geometry-optimized V6GaSn structure, from Alexandria via LeMat-Bulk.

Summary:
- raw total energy (eV/atom) = -7.824
- M_tot (μB per formula unit) = 0.00
- relative energy among the computed polymorphs (kJ/mol of formula units) = 0
- V (Å³ per cell) = 116.5
- formation enthalpy at 0 K (eV per formula unit) = -0.8
- D(E_F) (states/eV per atom) = 0.892

Unit cell a=4.3599 b=5.4007 c=5.4007 alpha=113.63 beta=90.00 gamma=90.00
With the nearest neighbours (Å) after each atom.
Positions (direct):
1 Ga 0.5000 0.4014 0.5986  8 V 2.62-2.78
2 V 0.5000 0.8802 0.1198  6 V 2.50-2.65
3 V 0.0000 0.1052 0.4004  6 V 2.58-2.86, 2 Sn 2.66-2.74, 2 Ga 2.66
4 V 0.0000 0.5996 0.8948  6 V 2.58-2.86, 2 Sn 2.66-2.74, 2 Ga 2.66
5 V 0.5000 0.8793 0.5816  4 V 2.50-2.73, 2 Ga 2.62-2.78, 2 Sn 2.74
6 V 0.0000 0.6198 0.3802  8 V 2.58-2.82
7 V 0.5000 0.4184 0.1207  4 V 2.50-2.73, 2 Ga 2.62-2.78, 2 Sn 2.74
8 Sn 0.0000 0.0959 0.9041  12 V 2.66-2.96

# 2
The following is a PBE-GGA calculation of a geometry-optimized V6GaSn structure, from Alexandria via LeMat-Bulk.

Summary:
- raw total energy (eV/atom) = -7.819
- M_tot (μB per formula unit) = 1.93
- relative energy among the computed polymorphs (kJ/mol of formula units) = 4
- V (Å³ per cell) = 116.0
- formation enthalpy at 0 K (eV per formula unit) = -0.8
- D(E_F) (states/eV per atom) = 1.990

Unit cell a=4.8770 b=4.8770 c=4.8770 alpha=90.00 beta=90.00 gamma=90.00
With the nearest neighbours (Å) after each atom.
Positions (direct):
1 V 0.0000 0.5000 0.7395  2 V 2.34-2.54
2 V 0.7395 0.0000 0.5000  2 V 2.34-2.54
3 V 0.5000 0.7395 0.0000  2 V 2.34-2.54
4 V 0.2605 0.0000 0.5000  2 V 2.34-2.54
5 V 0.0000 0.5000 0.2605  2 V 2.34-2.54
6 V 0.5000 0.2605 0.0000  2 V 2.34-2.54
7 Sn 0.0000 0.0000 0.0000  12 V 2.75
8 Ga 0.5000 0.5000 0.5000  12 V 2.70

# 3
The following is a PBE-GGA calculation of a geometry-optimized V12GaSn3 structure, from Alexandria via LeMat-Bulk.

Summary:
- raw total energy (eV/atom) = -7.866
- M_tot (μB per formula unit) = 0.00
- V (Å³ per cell) = 237.9
- formation enthalpy at 0 K (eV per formula unit) = -1.4
- D(E_F) (states/eV per atom) = 1.893

Unit cell a=4.9259 b=4.9470 c=9.7618 alpha=90.00 beta=90.00 gamma=90.00
With the nearest neighbours (Å) after each atom.
Positions (direct):
1 V 0.0000 0.7523 0.2589  2 V 2.45-2.50, 1 Ga 2.65
2 V 0.7691 0.5000 0.5000  1 V 2.27
3 V 0.5000 0.0000 0.1285  2 V 2.46-2.51, 2 Sn 2.75
4 V 0.0000 0.2477 0.7411  2 V 2.45-2.50, 1 Ga 2.65
5 V 0.7495 0.5000 0.0000  2 V 2.46-2.47, 2 Sn 2.74
6 V 0.0000 0.2477 0.2589  2 V 2.45-2.50, 1 Ga 2.65
7 V 0.2505 0.5000 0.0000  2 V 2.46-2.47, 2 Sn 2.74
8 V 0.2309 0.5000 0.5000  1 V 2.27
9 V 0.5000 0.0000 0.3809  2 V 2.33-2.46
10 V 0.0000 0.7523 0.7411  2 V 2.45-2.50, 1 Ga 2.65
11 V 0.5000 0.0000 0.6191  2 V 2.33-2.46
12 V 0.5000 0.0000 0.8715  2 V 2.46-2.51, 2 Sn 2.75
13 Ga 0.0000 0.0000 0.5000  12 V 2.65-2.72
14 Sn 0.0000 0.0000 0.0000  12 V 2.76-2.81
15 Sn 0.5000 0.5000 0.7488  12 V 2.74-2.78
16 Sn 0.5000 0.5000 0.2512  12 V 2.74-2.78

# 4
The following is a PBE-GGA calculation of a geometry-optimized V2GaSn structure, from Alexandria via LeMat-Bulk.

Summary:
- raw total energy (eV/atom) = -6.152
- M_tot (μB per formula unit) = 0.30
- V (Å³ per cell) = 65.9
- formation enthalpy at 0 K (eV per formula unit) = 0.7
- D(E_F) (states/eV per atom) = 1.168

Unit cell a=2.9586 b=2.9586 c=8.8544 alpha=80.38 beta=80.38 gamma=60.00
With the nearest neighbours (Å) after each atom.
Positions (direct):
1 V 0.0802 0.0802 0.7594  3 Ga 2.70, 3 Sn 2.83, 6 V 2.96
2 V 0.2531 0.2531 0.2407  3 Ga 2.70, 3 Sn 2.83, 6 V 2.96
3 Sn 0.5000 0.5000 0.5001  6 V 2.83, 6 Sn 2.96
4 Ga 0.6667 0.6667 0.9999  6 V 2.70, 6 Ga 2.96

# 5
The following is a PBE-GGA calculation of a geometry-optimized VGaSn2 structure, from Alexandria via LeMat-Bulk.

Summary:
- raw total energy (eV/atom) = -4.740
- M_tot (μB per formula unit) = 3.34
- relative energy among the computed polymorphs (kJ/mol of formula units) = 0
- V (Å³ per cell) = 86.7
- formation enthalpy at 0 K (eV per formula unit) = 1.2
- D(E_F) (states/eV per atom) = 0.864

Unit cell a=4.9678 b=4.9678 c=4.9678 alpha=60.00 beta=60.00 gamma=60.00
With the nearest neighbours (Å) after each atom.
Positions (direct):
1 Ga 0.5000 0.5000 0.5000  8 Sn 3.04
2 Sn 0.7500 0.7500 0.7500  4 Ga 3.04, 4 V 3.04
3 Sn 0.2500 0.2500 0.2500  4 Ga 3.04, 4 V 3.04
4 V 0.0000 0.0000 0.0000  8 Sn 3.04

# 6
The following is a PBE-GGA calculation of a geometry-optimized VGaSn2 structure, from Alexandria via LeMat-Bulk.

Summary:
- raw total energy (eV/atom) = -4.476
- M_tot (μB per formula unit) = 1.56
- relative energy among the computed polymorphs (kJ/mol of formula units) = 102
- V (Å³ per cell) = 91.6
- formation enthalpy at 0 K (eV per formula unit) = 2.2
- D(E_F) (states/eV per atom) = 0.910

Unit cell a=3.0887 b=3.0887 c=11.2295 alpha=82.10 beta=82.10 gamma=60.00
With the nearest neighbours (Å) after each atom.
Positions (direct):
1 Sn 0.9167 0.9167 0.2500  1 V 2.77, 6 Sn 3.09
2 Sn 0.0833 0.0833 0.7500  1 V 2.77, 6 Sn 3.09
3 Ga 0.5000 0.5000 0.5000  6 Ga 3.09, 6 Sn 3.30
4 V 0.0000 0.0000 0.0000  2 Sn 2.77, 6 V 3.09

# 7
The following is a PBE-GGA calculation of a geometry-optimized V12Ga3Sn structure, from Alexandria via LeMat-Bulk.

Summary:
- raw total energy (eV/atom) = -7.798
- M_tot (μB per formula unit) = 0.00
- V (Å³ per cell) = 225.3
- formation enthalpy at 0 K (eV per formula unit) = -2.3
- D(E_F) (states/eV per atom) = 1.840

Unit cell a=4.8329 b=4.8537 c=9.6063 alpha=90.00 beta=90.00 gamma=90.00
With the nearest neighbours (Å) after each atom.
Positions (direct):
1 Ga 0.5000 0.5000 0.7510  12 V 2.67-2.72
2 Ga 0.5000 0.5000 0.2490  12 V 2.67-2.72
3 Ga 0.0000 0.0000 0.0000  12 V 2.63-2.69
4 V 0.2649 0.5000 0.5000  1 V 2.27
5 V 0.0000 0.7423 0.2408  2 V 2.35-2.50, 1 Ga 2.63
6 V 0.5000 0.0000 0.8791  2 V 2.32-2.34
7 V 0.2385 0.5000 0.0000  2 V 2.31-2.53
8 V 0.0000 0.2577 0.7592  2 V 2.35-2.50, 1 Ga 2.63
9 V 0.5000 0.0000 0.1209  2 V 2.32-2.34
10 V 0.0000 0.2577 0.2408  2 V 2.35-2.50, 1 Ga 2.63
11 V 0.7615 0.5000 0.0000  2 V 2.31-2.53
12 V 0.5000 0.0000 0.3647  2 V 2.34-2.60
13 V 0.5000 0.0000 0.6353  2 V 2.34-2.60
14 V 0.0000 0.7423 0.7592  2 V 2.35-2.50, 1 Ga 2.63
15 V 0.7351 0.5000 0.5000  1 V 2.27
16 Sn 0.0000 0.0000 0.5000  12 V 2.74-2.79

# 8
The following is a PBE-GGA calculation of a geometry-optimized V2GaSn structure, from Alexandria via LeMat-Bulk.

Summary:
- raw total energy (eV/atom) = -6.184
- M_tot (μB per formula unit) = 0.00
- V (Å³ per cell) = 68.6
- formation enthalpy at 0 K (eV per formula unit) = 0.5
- D(E_F) (states/eV per atom) = 1.073

Unit cell a=4.3174 b=4.3174 c=4.9260 alpha=64.01 beta=64.01 gamma=60.00
With the nearest neighbours (Å) after each atom.
Positions (direct):
1 V 0.2134 0.2134 0.3598  3 Ga 2.56, 1 Sn 2.72, 3 V 2.76
2 V 0.7866 0.7866 0.6402  3 Ga 2.56, 1 Sn 2.72, 3 V 2.76
3 Ga 0.5000 0.5000 0.5000  6 V 2.56
4 Sn 0.0000 0.0000 0.0000  8 V 2.72-2.92

> Look up the V of the sixth one.

91.6 Å³ per cell

> The highest formation enthalpy at 0 K belongs to which entry?

number 6

> Look up the D(E_F) of the eighth one.

1.073 states/eV per atom

> V of number 1 (V6GaSn)?

116.5 Å³ per cell